[1]
## Na2DyMnS4 (PBE)

Data for crystalline Na2DyMnS4 at its relaxed geometry.

Unit cell a=3.852 b=6.512 c=7.011 alpha=108.13 beta=90.00 gamma=90.00
Fractional coordinates of all 8 atoms:
S  0.500  0.268  0.216
S  0.000  0.278  0.785
S  0.000  0.722  0.215
S  0.500  0.732  0.784
Mn  0.500  0.500  0.000
Na  0.000  0.500  0.500
Na  0.500  0.000  0.500
Dy  0.000  0.000  0.000

Properties
formation energy without anion corrections = -1.276 eV/atom
crystal system = monoclinic


[2]
## Na3Dy2MnS6 (PBE)

Data for crystalline Na3Dy2MnS6 at its relaxed geometry.

Unit cell a=6.722 b=6.722 c=7.022 alpha=98.89 beta=98.89 gamma=120.56
Fractional coordinates of all 12 atoms:
S  0.606  0.923  0.775
S  0.230  0.230  0.792
S  0.770  0.770  0.208
S  0.923  0.606  0.775
S  0.394  0.077  0.225
S  0.077  0.394  0.225
Na  0.500  0.500  0.500
Na  0.832  0.168  0.500
Na  0.168  0.832  0.500
Mn  0.000  0.000  0.000
Dy  0.669  0.331  0.000
Dy  0.331  0.669  0.000

Properties
formation energy without anion corrections = -1.457 eV/atom
crystal system = monoclinic


[3]
## NaDy2MnSe4 (PBE)

Data for crystalline NaDy2MnSe4 at its relaxed geometry.

Unit cell a=5.725 b=5.725 c=7.018 alpha=114.07 beta=114.07 gamma=90.01
Fractional coordinates of all 8 atoms:
Se  0.504  0.004  0.008
Se  0.752  0.752  0.503
Se  0.248  0.248  0.497
Se  0.996  0.496  0.992
Mn  0.750  0.250  0.500
Dy  0.000  0.000  0.000
Dy  0.250  0.750  0.500
Na  0.500  0.500  0.000

Properties
formation energy without anion corrections = -1.349 eV/atom
crystal system = tetragonal


[4]
## Na3Dy3MnTe8 (PBE)

Data for crystalline Na3Dy3MnTe8 at its relaxed geometry.

Unit cell a=8.631 b=8.635 c=9.174 alpha=118.12 beta=89.97 gamma=120.01
Fractional coordinates of all 15 atoms:
Na  0.000  0.000  0.000
Na  0.500  0.500  0.000
Na  0.000  0.500  0.000
Dy  0.000  0.500  0.500
Dy  0.500  0.500  0.500
Dy  0.500  0.000  0.500
Te  0.776  0.009  0.285
Te  0.744  0.489  0.733
Te  0.224  0.991  0.715
Te  0.256  0.511  0.267
Te  0.224  0.447  0.715
Te  0.768  0.991  0.715
Te  0.232  0.009  0.285
Te  0.776  0.553  0.285
Mn  0.000  0.000  0.500

Properties
formation energy without anion corrections = -1.028 eV/atom
crystal system = trigonal


[5]
## DyMn9Nb2 (PBE)

Data for crystalline DyMn9Nb2 at its relaxed geometry.

Unit cell a=4.948 b=4.948 c=8.315 alpha=72.69 beta=72.69 gamma=60.00
Fractional coordinates of all 12 atoms:
Dy  0.000  0.000  0.000
Mn  0.079  0.590  0.741
Mn  0.590  0.079  0.741
Mn  0.590  0.590  0.741
Mn  0.921  0.410  0.259
Mn  0.410  0.921  0.259
Mn  0.410  0.410  0.259
Mn  0.500  0.500  0.500
Mn  0.664  0.664  0.007
Mn  0.336  0.336  0.993
Nb  0.143  0.143  0.570
Nb  0.857  0.857  0.430

Properties
crystal system = trigonal


[6]
## DyMnNbSi2 (PBE)

Data for crystalline DyMnNbSi2 at its relaxed geometry.

Unit cell a=3.941 b=3.941 c=6.269 alpha=108.32 beta=108.32 gamma=90.00
Fractional coordinates of all 5 atoms:
Nb  0.250  0.750  0.500
Si  0.393  0.393  0.786
Si  0.607  0.607  0.214
Dy  0.000  0.000  0.000
Mn  0.750  0.250  0.500

Properties
formation energy without anion corrections = -0.570 eV/atom
crystal system = tetragonal


| no. | VASP energy (eV/cell) |
| --- | --- |
| 1 | -43.13 |
| 2 | -64.58 |
| 3 | -44.42 |
| 4 | -67.48 |
| 5 | -107.76 |
| 6 | -37.54 |